Entry one
Here is a geometry-optimized BaSc2Tl structure from Alexandria. Energies are from GGA-PBE.

The space group is Imm2 (No. 44) and the conventional cell measures 3.7978, 5.4092 and 11.6146 Å, with angles of 90.00, 90.00 and 90.00 degrees. The asymmetric unit holds Ba at (0.0000, 0.0000, 0.0000), Sc at (0.0000, 0.0000, 0.5462), Sc at (0.0000, 0.5000, 0.7873) and Tl at (0.0000, 0.5000, 0.2454).

Its volume is 29.825 A^3/atom. For the density of states at the Fermi level, the calculation gives 1.21 states/eV per atom.



Entry two
Here is a geometry-optimized BaSc2Tl structure from Alexandria. Energies are from GGA-PBE.

The space group is P4/mmm (No. 123) and the conventional cell measures 3.5873, 3.5873 and 9.5397 Å, with angles of 90.00, 90.00 and 90.00 degrees. The asymmetric unit holds Ba at (0.0000, 0.0000, 0.0000), Sc at (0.5000, 0.5000, 0.3098) and Tl at (0.0000, 0.0000, 0.5000).

Its volume is 30.691 A^3/atom. For the density of states at the Fermi level, the calculation gives 1.34 states/eV per atom.



Energies relative to the most stable structure are entry one 5.8; entry two 0.0, reported in kJ/mol of atoms.



Entry one
Here is a geometry-optimized BaSc2Tl structure from Alexandria. Energies are from GGA-PBE.

The space group is R-3m (No. 166, hexagonal axes) and the conventional cell measures 3.4996, 3.4996 and 36.4292 Å, with angles of 90.00, 90.00 and 120.00 degrees. The asymmetric unit holds Ba at (0.0000, 0.0000, 0.0000), Sc at (0.0000, 0.0000, 0.4175) and Tl at (0.0000, 0.0000, 0.5000).

Its volume is 32.199 A^3/atom. For the density of states at the Fermi level, the calculation gives 0.98 states/eV per atom.



Entry two
Here is a geometry-optimized BaSc2Tl structure from Alexandria. Energies are from GGA-PBE.

The space group is Fm-3m (No. 225) and the conventional cell measures 7.6418, 7.6418 and 7.6418 Å, with angles of 90.00, 90.00 and 90.00 degrees. The asymmetric unit holds Ba at (0.0000, 0.0000, 0.0000), Sc at (0.2500, 0.2500, 0.2500) and Tl at (0.0000, 0.0000, 0.5000).

Its volume is 27.891 A^3/atom. For the density of states at the Fermi level, the calculation gives 1.57 states/eV per atom.



Energies relative to the most stable structure are entry one 20.4; entry two 0.0, reported in kJ/mol of atoms.



Entry one
Here is a geometry-optimized BaSc2Tl structure from Alexandria. Energies are from GGA-PBE.

The space group is P2/m (No. 10) and the conventional cell measures 3.6362, 5.1869 and 6.7810 Å, with angles of 90.00, 102.27 and 90.00 degrees. The asymmetric unit holds Ba at (0.0000, 0.0000, 0.0000), Sc at (0.3286, 0.5000, 0.6969) and Tl at (0.5000, 0.0000, 0.5000).

Its volume is 31.244 A^3/atom. For the density of states at the Fermi level, the calculation gives 1.43 states/eV per atom.



Entry two
Here is a geometry-optimized BaSc2Tl structure from Alexandria. Energies are from GGA-PBE.

The space group is I-4m2 (No. 119) and the conventional cell measures 4.9445, 4.9445 and 9.6480 Å, with angles of 90.00, 90.00 and 90.00 degrees. The asymmetric unit holds Ba at (0.0000, 0.0000, 0.0000), Sc at (0.0000, 0.0000, 0.5000), Sc at (0.0000, 0.5000, 0.7500) and Tl at (0.0000, 0.5000, 0.2500).

Its volume is 29.485 A^3/atom. For the density of states at the Fermi level, the calculation gives 1.34 states/eV per atom.



Energies relative to the most stable structure are entry one 0.0; entry two 3.4, reported in kJ/mol of atoms.



Entry one
Here is a geometry-optimized BaSc3Tl structure from Alexandria. Energies are from GGA-PBE.

The space group is Pm-3m (No. 221) and the conventional cell measures 5.3739, 5.3739 and 5.3739 Å, with angles of 90.00, 90.00 and 90.00 degrees. The asymmetric unit holds Ba at (0.0000, 0.0000, 0.0000), Sc at (0.0000, 0.0000, 0.5000) and Tl at (0.5000, 0.5000, 0.5000).

Its volume is 31.039 A^3/atom. For the density of states at the Fermi level, the calculation gives 1.15 states/eV per atom.



Entry two
Here is a geometry-optimized BaSc3Tl structure from Alexandria. Energies are from GGA-PBE.

The space group is Pm-3m (No. 221) and the conventional cell measures 5.5804, 5.5804 and 5.5804 Å, with angles of 90.00, 90.00 and 90.00 degrees. The asymmetric unit holds Ba at (0.0000, 0.0000, 0.0000), Sc at (0.0000, 0.5000, 0.5000) and Tl at (0.5000, 0.5000, 0.5000).

Its volume is 34.755 A^3/atom. For the density of states at the Fermi level, the calculation gives 1.47 states/eV per atom.



Energies relative to the most stable structure are entry one 75.8; entry two 0.0, reported in kJ/mol of atoms.



Entry one
Here is a geometry-optimized BaSc2Tl2 structure from Alexandria. Energies are from GGA-PBE.

The space group is I4/mmm (No. 139) and the conventional cell measures 4.8218, 4.8218 and 13.6159 Å, with angles of 90.00, 90.00 and 90.00 degrees. The asymmetric unit holds Ba at (0.0000, 0.0000, 0.0000), Sc at (0.0000, 0.5000, 0.2500) and Tl at (0.0000, 0.0000, 0.3845).

Its volume is 31.657 A^3/atom. For the density of states at the Fermi level, the calculation gives 0.84 states/eV per atom.



Entry two
Here is a geometry-optimized BaSc2Tl2 structure from Alexandria. Energies are from GGA-PBE.

The space group is P4/mbm (No. 127) and the conventional cell measures 9.1305, 9.1305 and 3.3439 Å, with angles of 90.00, 90.00 and 90.00 degrees. The asymmetric unit holds Ba at (0.0000, 0.0000, 0.0000), Sc at (0.1206, 0.3794, 0.0000) and Tl at (0.1737, 0.6737, 0.5000).

Its volume is 27.876 A^3/atom. For the density of states at the Fermi level, the calculation gives 1.01 states/eV per atom.



Energies relative to the most stable structure are entry one 2.5; entry two 0.0, reported in kJ/mol of atoms.



Entry one
Here is a geometry-optimized BaTm2Sc structure from Alexandria. Energies are from GGA-PBE.

The space group is P4/mmm (No. 123) and the conventional cell measures 3.8853, 3.8853 and 9.3628 Å, with angles of 90.00, 90.00 and 90.00 degrees. The asymmetric unit holds Ba at (0.0000, 0.0000, 0.0000), Tm at (0.5000, 0.5000, 0.3146) and Sc at (0.0000, 0.0000, 0.5000).

Its volume is 35.335 A^3/atom. For the density of states at the Fermi level, the calculation gives 1.35 states/eV per atom.



Entry two
Here is a geometry-optimized BaTm2Sc structure from Alexandria. Energies are from GGA-PBE.

The space group is R-3m (No. 166, hexagonal axes) and the conventional cell measures 3.5087, 3.5087 and 37.1952 Å, with angles of 90.00, 90.00 and 120.00 degrees. The asymmetric unit holds Ba at (0.0000, 0.0000, 0.0000), Tm at (0.0000, 0.0000, 0.0963) and Sc at (0.0000, 0.0000, 0.5000).

Its volume is 33.046 A^3/atom. For the density of states at the Fermi level, the calculation gives 1.41 states/eV per atom.



Energies relative to the most stable structure are entry one 0.0; entry two 8.5, reported in kJ/mol of atoms.



Entry one
Here is a geometry-optimized BaSc3V structure from Alexandria. Energies are from GGA-PBE.

The space group is Pm-3m (No. 221) and the conventional cell measures 5.2835, 5.2835 and 5.2835 Å, with angles of 90.00, 90.00 and 90.00 degrees. The asymmetric unit holds Ba at (0.0000, 0.0000, 0.0000), Sc at (0.0000, 0.5000, 0.5000) and V at (0.5000, 0.5000, 0.5000).

Its volume is 29.498 A^3/atom. For the density of states at the Fermi level, the calculation gives 0.87 states/eV per atom.



Entry two
Here is a geometry-optimized BaSc3V structure from Alexandria. Energies are from GGA-PBE.

The space group is Pm-3m (No. 221) and the conventional cell measures 5.2632, 5.2632 and 5.2632 Å, with angles of 90.00, 90.00 and 90.00 degrees. The asymmetric unit holds Ba at (0.0000, 0.0000, 0.0000), Sc at (0.0000, 0.0000, 0.5000) and V at (0.5000, 0.5000, 0.5000).

Its volume is 29.159 A^3/atom. For the density of states at the Fermi level, the calculation gives 1.65 states/eV per atom.



Energies relative to the most stable structure are entry one 0.0; entry two 111.1, reported in kJ/mol of atoms.



Entry one
Here is a geometry-optimized Ba2ScV2 structure from Alexandria. Energies are from GGA-PBE.

The space group is I4/mmm (No. 139) and the conventional cell measures 3.4523, 3.4523 and 24.8800 Å, with angles of 90.00, 90.00 and 90.00 degrees. The asymmetric unit holds Ba at (0.0000, 0.0000, 0.1229), Sc at (0.0000, 0.0000, 0.5000) and V at (0.0000, 0.5000, 0.2500).

Its volume is 29.653 A^3/atom. For the density of states at the Fermi level, the calculation gives 1.82 states/eV per atom.



Entry two
Here is a geometry-optimized Ba2ScV2 structure from Alexandria. Energies are from GGA-PBE.

The space group is P4/mbm (No. 127) and the conventional cell measures 9.7502, 9.7502 and 3.3852 Å, with angles of 90.00, 90.00 and 90.00 degrees. The asymmetric unit holds Ba at (0.2126, 0.2874, 0.0000), Sc at (0.0000, 0.0000, 0.0000) and V at (0.0671, 0.5671, 0.5000).

Its volume is 32.182 A^3/atom. For the density of states at the Fermi level, the calculation gives 1.44 states/eV per atom.



Energies relative to the most stable structure are entry one 0.0; entry two 19.8, reported in kJ/mol of atoms.



Entry one
Here is a geometry-optimized BaSc2W structure from Alexandria. Energies are from GGA-PBE.

The space group is Immm (No. 71) and the conventional cell measures 3.3743, 6.0438 and 11.0069 Å, with angles of 90.00, 90.00 and 90.00 degrees. The asymmetric unit holds Ba at (0.0000, 0.0000, 0.0000), Sc at (0.0000, 0.5000, 0.1937) and W at (0.0000, 0.0000, 0.5000).

Its volume is 28.058 A^3/atom. For the density of states at the Fermi level, the calculation gives 1.38 states/eV per atom.



Entry two
Here is a geometry-optimized BaSc2W structure from Alexandria. Energies are from GGA-PBE.

The space group is Imm2 (No. 44) and the conventional cell measures 3.1781, 4.8055 and 15.8443 Å, with angles of 90.00, 90.00 and 90.00 degrees. The asymmetric unit holds Ba at (0.0000, 0.0000, 0.0000), Sc at (0.0000, 0.0000, 0.6702), Sc at (0.0000, 0.5000, 0.8044) and W at (0.0000, 0.5000, 0.3109).

Its volume is 30.247 A^3/atom. For the density of states at the Fermi level, the calculation gives 1.67 states/eV per atom.



Entry three
Here is a geometry-optimized BaSc2W structure from Alexandria. Energies are from GGA-PBE.

The space group is Fm-3m (No. 225) and the conventional cell measures 7.2615, 7.2615 and 7.2615 Å, with angles of 90.00, 90.00 and 90.00 degrees. The asymmetric unit holds Ba at (0.0000, 0.0000, 0.0000), Sc at (0.2500, 0.2500, 0.2500) and W at (0.0000, 0.0000, 0.5000).

Its volume is 23.931 A^3/atom. For the density of states at the Fermi level, the calculation gives 0.42 states/eV per atom.



Energies relative to the most stable structure are entry one 4.7; entry two 0.0; entry three 8.3, reported in kJ/mol of atoms.



Entry one
Here is a geometry-optimized BaSc2W structure from Alexandria. Energies are from GGA-PBE.

The space group is P4/mmm (No. 123) and the conventional cell measures 4.8395, 4.8395 and 4.1234 Å, with angles of 90.00, 90.00 and 90.00 degrees. The asymmetric unit holds Ba at (0.0000, 0.0000, 0.0000), Sc at (0.0000, 0.5000, 0.5000) and W at (0.5000, 0.5000, 0.0000).

Its volume is 24.143 A^3/atom. For the density of states at the Fermi level, the calculation gives 0.98 states/eV per atom.



Entry two
Here is a geometry-optimized BaSc2W structure from Alexandria. Energies are from GGA-PBE.

The space group is P2/m (No. 10) and the conventional cell measures 3.3603, 3.3641 and 9.6583 Å, with angles of 90.00, 90.16 and 90.00 degrees. The asymmetric unit holds Ba at (0.0000, 0.0000, 0.0000), Sc at (0.4994, 0.5000, 0.3332) and W at (0.0000, 0.0000, 0.5000).

Its volume is 27.295 A^3/atom. For the density of states at the Fermi level, the calculation gives 1.78 states/eV per atom.



Energies relative to the most stable structure are entry one 47.7; entry two 0.0, reported in kJ/mol of atoms.



Entry one
Here is a geometry-optimized BaSc2W structure from Alexandria. Energies are from GGA-PBE.

The space group is R-3m (No. 166, hexagonal axes) and the conventional cell measures 3.4014, 3.4014 and 31.7569 Å, with angles of 90.00, 90.00 and 120.00 degrees. The asymmetric unit holds Ba at (0.0000, 0.0000, 0.0000), Sc at (0.0000, 0.0000, 0.2290) and W at (0.0000, 0.0000, 0.5000).

Its volume is 26.515 A^3/atom. For the density of states at the Fermi level, the calculation gives 1.79 states/eV per atom.



Entry two
Here is a geometry-optimized BaSc2W structure from Alexandria. Energies are from GGA-PBE.

The space group is P4mm (No. 99) and the conventional cell measures 3.0888, 3.0888 and 10.7149 Å, with angles of 90.00, 90.00 and 90.00 degrees. The asymmetric unit holds Ba at (0.0000, 0.0000, 0.0000), Sc at (0.0000, 0.0000, 0.5545), Sc at (0.5000, 0.5000, 0.3128) and W at (0.5000, 0.5000, 0.7436).

Its volume is 25.556 A^3/atom. For the density of states at the Fermi level, the calculation gives 1.55 states/eV per atom.



Entry three
Here is a geometry-optimized BaSc2W structure from Alexandria. Energies are from GGA-PBE.

The space group is F-43m (No. 216) and the conventional cell measures 7.3089, 7.3089 and 7.3089 Å, with angles of 90.00, 90.00 and 90.00 degrees. The asymmetric unit holds Ba at (0.0000, 0.0000, 0.0000), Sc at (0.0000, 0.0000, 0.5000), Sc at (0.2500, 0.2500, 0.7500) and W at (0.2500, 0.2500, 0.2500).

Its volume is 24.403 A^3/atom. For the density of states at the Fermi level, the calculation gives 1.33 states/eV per atom.



Entry four
Here is a geometry-optimized BaSc2W structure from Alexandria. Energies are from GGA-PBE.

The space group is C2/m (No. 12) and the conventional cell measures 9.0148, 3.1545 and 7.5922 Å, with angles of 90.00, 93.92 and 90.00 degrees. The asymmetric unit holds Ba at (0.0000, 0.0000, 0.0000), Sc at (0.2343, 0.0000, 0.6737) and W at (0.0000, 0.5000, 0.5000).

Its volume is 26.925 A^3/atom. For the density of states at the Fermi level, the calculation gives 1.38 states/eV per atom.



Energies relative to the most stable structure are entry one 0.0; entry two 13.3; entry three 33.5; entry four 3.0, reported in kJ/mol of atoms.



Entry one
Here is a geometry-optimized BaSc2W structure from Alexandria. Energies are from GGA-PBE.

The space group is Cmm2 (No. 35) and the conventional cell measures 4.0303, 4.6564 and 10.8713 Å, with angles of 90.00, 90.00 and 90.00 degrees. The asymmetric unit holds Ba at (0.0000, 0.0000, 0.0000), Sc at (0.0000, 0.0000, 0.4449), Sc at (0.0000, 0.5000, 0.6884) and W at (0.0000, 0.5000, 0.2559).

Its volume is 25.502 A^3/atom. For the density of states at the Fermi level, the calculation gives 1.37 states/eV per atom.



Entry two
Here is a geometry-optimized BaSc2W structure from Alexandria. Energies are from GGA-PBE.

The space group is R3m (No. 160, hexagonal axes) and the conventional cell measures 3.2058, 3.2058 and 33.9901 Å, with angles of 90.00, 90.00 and 120.00 degrees. The asymmetric unit holds Ba at (0.0000, 0.0000, 0.0000), Sc at (0.0000, 0.0000, 0.5160), Sc at (0.0000, 0.0000, 0.7678) and W at (0.0000, 0.0000, 0.2486).

Its volume is 25.210 A^3/atom. For the density of states at the Fermi level, the calculation gives 1.45 states/eV per atom.



Energies relative to the most stable structure are entry one 0.0; entry two 7.5, reported in kJ/mol of atoms.